Compound: Ac3MoO6
Source: Alexandria
Functional: PBE with a Hubbard U
Structure: optimized geometry

a = 7.1744 Å, b = 7.1744 Å, c = 7.1744 Å
α = 93.56°, β = 93.56°, γ = 93.56°
Each line ends with the local moment (μB).
Atoms (fractional coordinates):
O (0.2978, 0.9248, 0.0611)  0.01
O (0.7022, 0.0752, 0.9389)  0.01
O (0.9389, 0.7022, 0.0752)  0.01
O (0.5831, 0.7934, 0.4546)  0.01
O (0.5454, 0.4169, 0.2066)  0.01
O (0.4169, 0.2066, 0.5454)  0.01
O (0.4546, 0.5831, 0.7934)  0.01
O (0.0611, 0.2978, 0.9248)  0.01
O (0.0752, 0.9389, 0.7022)  0.01
O (0.2066, 0.5454, 0.4169)  0.01
O (0.7934, 0.4546, 0.5831)  0.01
O (0.9248, 0.0611, 0.2978)  0.01
Mo (0.5000, 0.5000, 0.5000)  2.65
Mo (0.0000, 0.0000, 0.0000)  2.75
Ac (0.0756, 0.2584, 0.5668)  0.01
Ac (0.2584, 0.5668, 0.0756)  0.01
Ac (0.7416, 0.4332, 0.9244)  0.01
Ac (0.9244, 0.7416, 0.4332)  0.01
Ac (0.5668, 0.0756, 0.2584)  0.01
Ac (0.4332, 0.9244, 0.7416)  0.01

Computed properties:
uncorrected energy = -7.830 eV/atom
space group = R-3 (148)